A geometry-optimized TaNb2Te2Se4 structure. Source: the Alexandria database, functional GGA-PBE.

The space group is P3m1 (No. 156) and the conventional cell measures 3.5405, 3.5405 and 21.7137 Å, with angles of 90.00, 90.00 and 120.00 degrees. Symmetry generates all atoms from Ta at (0.0000, 0.0000, 0.0000), Nb at (0.0000, 0.0000, 0.6421), Nb at (0.6667, 0.3333, 0.3273), Te at (0.6667, 0.3333, 0.0877), Te at (0.6667, 0.3333, 0.9121), Se at (0.0000, 0.0000, 0.2506), Se at (0.0000, 0.0000, 0.4038), Se at (0.6667, 0.3333, 0.5655) and Se at (0.6667, 0.3333, 0.7188).

The calculation puts the density of states at the Fermi level at 10.5 states/eV per cell. The volume is 26.19 Å³/atom. The value obtained for the density is 6.6 Mg/m³. As for the total energy: -6.4637 eV per atom.